VASP calculation (PBE-GGA) on crystalline YHf2MgPd at its relaxed geometry.

Magnetization in Bohr magnetons per cell: 0.00
Crystal system: tetragonal
Raw total energy in eV for the cell shown: -25.4
Formation enthalpy at 0 K in meV/atom: 1550

abc: 5.081 5.232 5.081
angles: 90.00 90.00 90.00
Sites, in units of the cell vectors:
Mg (0.000, 0.500, 0.000)
Hf (0.500, 0.000, 0.000)
Hf (0.000, 0.000, 0.500)
Pd (0.500, 0.500, 0.500)
Y (0.000, 0.000, 0.000)